--- 1 ---
Crystalline LaCr3Te at its relaxed geometry. Source: Alexandria, functional PBE.

Cell and atoms, written as extended XYZ:
```
5
Lattice="5.1062 0.0000 0.0000 0.0000 5.1062 0.0000 0.0000 0.0000 5.1062" Properties=species:S:1:pos:R:3 pbc="T T T"
La 0.0000 0.0000 0.0000
Cr 0.0000 2.5531 2.5531
Cr 2.5531 0.0000 2.5531
Cr 2.5531 2.5531 0.0000
Te 2.5531 2.5531 2.5531
```

Calculated values
- magnetization (μB/cell) = 11.11
- space group = No. 221


--- 2 ---
Crystalline LaCr3Te at its relaxed geometry. Source: Alexandria, functional PBE.

Cell and atoms, written as extended XYZ:
```
5
Lattice="4.6197 0.0000 0.0000 0.0000 4.6197 0.0000 0.0000 0.0000 4.6197" Properties=species:S:1:pos:R:3 pbc="T T T"
La 0.0000 0.0000 0.0000
Cr 0.0000 0.0000 2.3098
Cr 0.0000 2.3098 0.0000
Cr 2.3098 0.0000 0.0000
Te 2.3098 2.3098 2.3098
```

Calculated values
- magnetization (μB/cell) = 0.00
- space group = No. 221


It is 2 that is the least stable of them.


--- 1 ---
Crystalline La2VCr2 at its relaxed geometry. Source: Alexandria, functional PBE.

Cell and atoms, written as extended XYZ:
```
10
Lattice="8.5245 0.0000 0.0000 0.0000 8.5245 0.0000 0.0000 0.0000 3.3850" Properties=species:S:1:pos:R:3 pbc="T T T"
La 1.4106 2.8517 0.0000
La 2.8517 7.1139 0.0000
La 5.6728 1.4106 0.0000
La 7.1139 5.6728 0.0000
V 0.0000 0.0000 0.0000
V 4.2622 4.2622 0.0000
Cr 1.1370 5.3992 1.6925
Cr 3.1253 1.1370 1.6925
Cr 5.3992 7.3875 1.6925
Cr 7.3875 3.1253 1.6925
```

Calculated values
- magnetization (μB/cell) = 7.80
- space group = No. 127


--- 2 ---
Crystalline La2VCr2 at its relaxed geometry. Source: Alexandria, functional PBE.

Cell and atoms, written as extended XYZ:
```
10
Lattice="3.2304 0.0000 0.0000 0.0000 3.2304 0.0000 0.0000 0.0000 20.3434" Properties=species:S:1:pos:R:3 pbc="T T T"
La 0.0000 0.0000 2.2115
La 0.0000 0.0000 18.1320
La 1.6152 1.6152 7.9603
La 1.6152 1.6152 12.3832
V 0.0000 0.0000 10.1717
V 1.6152 1.6152 0.0000
Cr 0.0000 1.6152 5.0859
Cr 0.0000 1.6152 15.2576
Cr 1.6152 0.0000 5.0859
Cr 1.6152 0.0000 15.2576
```

Calculated values
- magnetization (μB/cell) = 0.01
- space group = No. 139


It is 1 that is the least stable of them.


--- 1 ---
Crystalline La2VCr at its relaxed geometry. Source: Alexandria, functional PBE.

Cell and atoms, written as extended XYZ:
```
16
Lattice="7.4614 0.0000 0.0000 0.0000 7.4614 0.0000 0.0000 0.0000 7.4614" Properties=species:S:1:pos:R:3 pbc="T T T"
La 1.8654 1.8654 1.8654
La 1.8654 1.8654 5.5961
La 1.8654 5.5961 1.8654
La 1.8654 5.5961 5.5961
La 5.5961 1.8654 1.8654
La 5.5961 1.8654 5.5961
La 5.5961 5.5961 1.8654
La 5.5961 5.5961 5.5961
V 0.0000 0.0000 0.0000
V 0.0000 3.7307 3.7307
V 3.7307 0.0000 3.7307
V 3.7307 3.7307 0.0000
Cr 0.0000 0.0000 3.7307
Cr 0.0000 3.7307 0.0000
Cr 3.7307 0.0000 0.0000
Cr 3.7307 3.7307 3.7307
```

Calculated values
- magnetization (μB/cell) = 25.50
- space group = No. 225


--- 2 ---
Crystalline La2VCr at its relaxed geometry. Source: Alexandria, functional PBE.

Cell and atoms, written as extended XYZ:
```
16
Lattice="8.1977 0.0000 0.0000 0.0000 8.1977 0.0000 0.0000 0.0000 6.3076" Properties=species:S:1:pos:R:3 pbc="T T T"
La 2.0349 2.0494 0.7884
La 2.0494 6.1337 2.3653
La 2.0494 6.1628 5.5191
La 2.0639 2.0494 3.9422
La 6.1337 6.1483 3.9422
La 6.1483 2.0349 5.5191
La 6.1483 2.0639 2.3653
La 6.1628 6.1483 0.7884
V 0.0000 0.0000 0.0000
V 0.0000 4.0988 1.5769
V 4.0988 0.0000 4.7307
V 4.0988 4.0988 3.1538
Cr 0.0000 0.0000 3.1538
Cr 0.0000 4.0988 4.7307
Cr 4.0988 0.0000 1.5769
Cr 4.0988 4.0988 0.0000
```

Calculated values
- magnetization (μB/cell) = 2.05
- space group = No. 122


It is 2 that is the least stable of them.


--- 1 ---
Crystalline LaVCr2 at its relaxed geometry. Source: Alexandria, functional PBE.

Cell and atoms, written as extended XYZ:
```
16
Lattice="4.6095 0.0000 0.0000 0.0000 4.6095 0.0000 0.0000 0.0000 16.3727" Properties=species:S:1:pos:R:3 pbc="T T T"
La 0.0000 1.1524 6.1398
La 0.0000 3.4571 10.2329
La 2.3048 1.1524 2.0466
La 2.3048 3.4571 14.3261
V 0.0000 1.1524 14.3261
V 0.0000 3.4571 2.0466
V 2.3048 1.1524 10.2329
V 2.3048 3.4571 6.1398
Cr 0.0000 0.0000 0.0000
Cr 0.0000 2.3048 0.0000
Cr 1.1524 1.1524 12.2795
Cr 1.1524 3.4571 4.0932
Cr 2.3048 0.0000 8.1863
Cr 2.3048 2.3048 8.1863
Cr 3.4571 1.1524 12.2795
Cr 3.4571 3.4571 4.0932
```

Calculated values
- magnetization (μB/cell) = 6.88
- space group = No. 141


--- 2 ---
Crystalline LaVCr2 at its relaxed geometry. Source: Alexandria, functional PBE.

Cell and atoms, written as extended XYZ:
```
16
Lattice="6.6855 0.0000 0.0000 0.0000 6.6855 0.0000 0.0000 0.0000 6.6855" Properties=species:S:1:pos:R:3 pbc="T T T"
La 0.0000 0.0000 0.0000
La 0.0000 3.3428 3.3428
La 3.3428 0.0000 3.3428
La 3.3428 3.3428 0.0000
V 0.0000 0.0000 3.3428
V 0.0000 3.3428 0.0000
V 3.3428 0.0000 0.0000
V 3.3428 3.3428 3.3428
Cr 1.6714 1.6714 1.6714
Cr 1.6714 1.6714 5.0141
Cr 1.6714 5.0141 1.6714
Cr 1.6714 5.0141 5.0141
Cr 5.0141 1.6714 1.6714
Cr 5.0141 1.6714 5.0141
Cr 5.0141 5.0141 1.6714
Cr 5.0141 5.0141 5.0141
```

Calculated values
- magnetization (μB/cell) = 13.53
- space group = No. 225


It is 1 that is the least stable of them.